w | Density functional theory data (PBE-GGA) for a geometry-optimized Hf3TlAs structure.

density of states at the Fermi level	9.900	states/eV/cell

Lattice parameters (Å, degrees): 5.252 5.252 5.252 90.00 90.00 90.00
Space group Pm-3m (No. 221)
Inequivalent atoms, fractional coordinates:
Hf 0.000 0.000 0.500
Tl 0.000 0.000 0.000
As 0.500 0.500 0.500

***

x | Density functional theory data (PBE-GGA) for a geometry-optimized Hf3TlAs structure.

density of states at the Fermi level	3.137	states/eV/cell

Lattice parameters (Å, degrees): 4.964 4.964 4.964 90.00 90.00 90.00
Space group Pm-3m (No. 221)
Inequivalent atoms, fractional coordinates:
Hf 0.000 0.000 0.500
Tl 0.500 0.500 0.500
As 0.000 0.000 0.000

***

Stability summary: most stable x, least stable w.

***

w | Density functional theory data (PBE-GGA) for a geometry-optimized HfVAs2 structure.

density of states at the Fermi level	11.589	states/eV/cell

Lattice parameters (Å, degrees): 6.433 6.433 6.433 90.00 90.00 90.00
Space group Fm-3m (No. 225)
Inequivalent atoms, fractional coordinates:
Hf 0.000 0.000 0.000
V 0.000 0.000 0.500
As 0.250 0.250 0.250

***

x | Density functional theory data (PBE-GGA) for a geometry-optimized HfVAs2 structure.

density of states at the Fermi level	12.305	states/eV/cell

Lattice parameters (Å, degrees): 5.791 5.791 12.137 90.00 90.00 90.00
Space group I-42d (No. 122)
Inequivalent atoms, fractional coordinates:
Hf 0.000 0.000 0.000
V 0.000 0.000 0.500
As 0.233 0.250 0.625

***

Stability summary: most stable w, least stable x.

***

w | Density functional theory data (PBE-GGA) for a geometry-optimized HfAs3W structure.

density of states at the Fermi level	4.067	states/eV/cell

Lattice parameters (Å, degrees): 5.063 5.063 5.063 90.00 90.00 90.00
Space group Pm-3m (No. 221)
Inequivalent atoms, fractional coordinates:
Hf 0.000 0.000 0.000
As 0.000 0.000 0.500
W 0.500 0.500 0.500

***

x | Density functional theory data (PBE-GGA) for a geometry-optimized HfAs3W structure.

density of states at the Fermi level	5.925	states/eV/cell

Lattice parameters (Å, degrees): 4.863 4.863 4.863 90.00 90.00 90.00
Space group Pm-3m (No. 221)
Inequivalent atoms, fractional coordinates:
Hf 0.000 0.000 0.000
As 0.000 0.500 0.500
W 0.500 0.500 0.500

***

Stability summary: most stable x, least stable w.

***

w | Density functional theory data (PBE-GGA) for a geometry-optimized YHf2As2 structure.

density of states at the Fermi level	8.562	states/eV/cell

Lattice parameters (Å, degrees): 5.039 5.039 9.192 90.00 90.00 90.00
Space group I4/mmm (No. 139)
Inequivalent atoms, fractional coordinates:
Y 0.000 0.000 0.000
Hf 0.000 0.000 0.343
As 0.000 0.500 0.250

***

x | Density functional theory data (PBE-GGA) for a geometry-optimized YHf2As2 structure.

density of states at the Fermi level	4.949	states/eV/cell

Lattice parameters (Å, degrees): 7.508 7.508 3.608 90.00 90.00 90.00
Space group P4/mbm (No. 127)
Inequivalent atoms, fractional coordinates:
Y 0.000 0.000 0.000
Hf 0.152 0.348 0.500
As 0.141 0.641 0.000

***

Stability summary: most stable x, least stable w.

***

w | Density functional theory data (PBE-GGA) for a geometry-optimized YHfAs2 structure.

density of states at the Fermi level	5.035	states/eV/cell

Lattice parameters (Å, degrees): 3.9486 3.9486 19.5940 90.00 90.00 120.00
Space group R-3m (No. 166, hexagonal axes)
Inequivalent atoms, fractional coordinates:
Y 0.0000 0.0000 0.0000
Hf 0.0000 0.0000 0.5000
As 0.0000 0.0000 0.2442

***

x | Density functional theory data (PBE-GGA) for a geometry-optimized YHfAs2 structure.

density of states at the Fermi level	8.109	states/eV/cell

Lattice parameters (Å, degrees): 3.8972 3.8972 20.4480 90.00 90.00 120.00
Space group R3m (No. 160, hexagonal axes)
Inequivalent atoms, fractional coordinates:
Y 0.0000 0.0000 0.0000
Hf 0.0000 0.0000 0.8260
As 0.0000 0.0000 0.2391
As 0.0000 0.0000 0.4203

***

y | Density functional theory data (PBE-GGA) for a geometry-optimized YHfAs2 structure.

density of states at the Fermi level	10.181	states/eV/cell

Lattice parameters (Å, degrees): 6.275 6.275 12.261 90.00 90.00 90.00
Space group I-42d (No. 122)
Inequivalent atoms, fractional coordinates:
Y 0.000 0.000 0.000
Hf 0.000 0.000 0.500
As 0.222 0.250 0.625

***

Stability summary: most stable w, least stable y.

***

w | Density functional theory data (PBE-GGA) for a geometry-optimized HfZn3As structure.

density of states at the Fermi level	4.281	states/eV/cell

Lattice parameters (Å, degrees): 4.728 4.728 4.728 90.00 90.00 90.00
Space group Pm-3m (No. 221)
Inequivalent atoms, fractional coordinates:
Hf 0.000 0.000 0.000
Zn 0.000 0.500 0.500
As 0.500 0.500 0.500

***

x | Density functional theory data (PBE-GGA) for a geometry-optimized HfZn3As structure.

density of states at the Fermi level	5.022	states/eV/cell

Lattice parameters (Å, degrees): 5.150 5.150 5.150 90.00 90.00 90.00
Space group Pm-3m (No. 221)
Inequivalent atoms, fractional coordinates:
Hf 0.000 0.000 0.000
Zn 0.000 0.000 0.500
As 0.500 0.500 0.500

***

Stability summary: most stable w, least stable x.

***

w | Density functional theory data (PBE-GGA) for a geometry-optimized HfZnAs3 structure.

density of states at the Fermi level	3.905	states/eV/cell

Lattice parameters (Å, degrees): 5.142 5.142 5.142 90.00 90.00 90.00
Space group Pm-3m (No. 221)
Inequivalent atoms, fractional coordinates:
Hf 0.000 0.000 0.000
Zn 0.500 0.500 0.500
As 0.000 0.000 0.500

***

x | Density functional theory data (PBE-GGA) for a geometry-optimized HfZnAs3 structure.

density of states at the Fermi level	3.555	states/eV/cell

Lattice parameters (Å, degrees): 4.750 4.750 4.750 90.00 90.00 90.00
Space group Pm-3m (No. 221)
Inequivalent atoms, fractional coordinates:
Hf 0.000 0.000 0.000
Zn 0.500 0.500 0.500
As 0.000 0.500 0.500

***

Stability summary: most stable w, least stable x.

***

w | Density functional theory data (PBE-GGA) for a geometry-optimized HfZr2As2 structure.

density of states at the Fermi level	3.023	states/eV/cell

Lattice parameters (Å, degrees): 7.243 7.243 3.687 90.00 90.00 90.00
Space group P4/mbm (No. 127)
Inequivalent atoms, fractional coordinates:
Hf 0.000 0.000 0.000
Zr 0.158 0.342 0.500
As 0.144 0.644 0.000

***

x | Density functional theory data (PBE-GGA) for a geometry-optimized HfZr2As2 structure.

density of states at the Fermi level	10.197	states/eV/cell

Lattice parameters (Å, degrees): 3.719 15.733 7.022 90.00 90.00 90.00
Space group Cmc2_1 (No. 36)
Inequivalent atoms, fractional coordinates:
Hf 0.000 0.125 0.000
Zr 0.000 0.319 0.148
Zr 0.000 0.470 0.831
As 0.000 0.051 0.618
As 0.000 0.301 0.751

***

y | Density functional theory data (PBE-GGA) for a geometry-optimized HfZr2As2 structure.

density of states at the Fermi level	4.030	states/eV/cell

Lattice parameters (Å, degrees): 4.138 4.138 11.965 90.00 90.00 90.00
Space group I4/mmm (No. 139)
Inequivalent atoms, fractional coordinates:
Hf 0.000 0.000 0.000
Zr 0.000 0.500 0.250
As 0.000 0.000 0.397

***

Stability summary: most stable w, least stable y.